No. 1
The following is a SCAN calculation of a PBEsol-optimized structure of Be2PdRh, from Alexandria.

The structure in POSCAR format:
```
Be2PdRh
1.0
5.536 0.000 0.000
0.000 5.536 0.000
0.000 0.000 5.536
Be Pd Rh
8 4 4
direct
0.250 0.250 0.250 Be
0.250 0.250 0.750 Be
0.250 0.750 0.250 Be
0.250 0.750 0.750 Be
0.750 0.250 0.250 Be
0.750 0.250 0.750 Be
0.750 0.750 0.250 Be
0.750 0.750 0.750 Be
0.000 0.000 0.000 Pd
0.000 0.500 0.500 Pd
0.500 0.000 0.500 Pd
0.500 0.500 0.000 Pd
0.000 0.000 0.500 Rh
0.000 0.500 0.000 Rh
0.500 0.000 0.000 Rh
0.500 0.500 0.500 Rh
```

E_tot	-19.6030	eV/atom
DOS at the Fermi energy	3.0	states/eV per cell
ΔH_f (0 K)	-0.79	eV/atom

No. 2
The following is a SCAN calculation of a PBEsol-optimized structure of ZrBeSb2Pd, from Alexandria.

The structure in POSCAR format:
```
ZrBeSb2Pd
1.0
4.887 0.000 0.000
0.000 4.887 0.000
0.000 0.000 4.076
Zr Be Sb Pd
1 1 2 1
direct
0.000 0.000 0.000 Zr
0.500 0.500 0.500 Be
0.000 0.500 0.500 Sb
0.500 0.000 0.500 Sb
0.500 0.500 0.000 Pd
```

raw formation energy	0.025	eV/atom
E_tot	-28.4443	eV/atom
DOS at the Fermi energy	2.2	states/eV per cell

No. 3
The following is a SCAN calculation of a PBEsol-optimized structure of ScBePd3, from Alexandria.

The structure in POSCAR format:
```
ScBePd3
1.0
4.209 0.000 0.000
0.000 4.209 0.000
0.000 0.000 4.209
Sc Be Pd
1 1 3
direct
0.000 0.000 0.000 Sc
0.500 0.500 0.500 Be
0.000 0.500 0.500 Pd
0.500 0.000 0.500 Pd
0.500 0.500 0.000 Pd
```

relative energy among the computed polymorphs	0	meV/atom
E_tot	-24.0208	eV/atom
DOS at the Fermi energy	4.0	states/eV per cell
ΔH_f (0 K)	-0.64	eV/atom

No. 4
The following is a SCAN calculation of a PBEsol-optimized structure of ScBePd3, from Alexandria.

The structure in POSCAR format:
```
ScBePd3
1.0
4.627 0.000 0.000
0.000 4.627 0.000
0.000 0.000 4.627
Sc Be Pd
1 1 3
direct
0.000 0.000 0.000 Sc
0.500 0.500 0.500 Be
0.000 0.000 0.500 Pd
0.000 0.500 0.000 Pd
0.500 0.000 0.000 Pd
```

relative energy among the computed polymorphs	1409	meV/atom
E_tot	-22.6117	eV/atom
DOS at the Fermi energy	1.4	states/eV per cell
ΔH_f (0 K)	0.77	eV/atom

No. 5
The following is a SCAN calculation of a PBEsol-optimized structure of Be3PdSe, from Alexandria.

The structure in POSCAR format:
```
Be3PdSe
1.0
4.167 0.000 0.000
0.000 4.167 0.000
0.000 0.000 4.167
Be Pd Se
3 1 1
direct
0.000 0.000 0.500 Be
0.000 0.500 0.000 Be
0.500 0.000 0.000 Be
0.500 0.500 0.500 Pd
0.000 0.000 0.000 Se
```

raw formation energy	0.846	eV/atom
E_tot	-12.3367	eV/atom
DOS at the Fermi energy	1.8	states/eV per cell

No. 6
The following is a SCAN calculation of a PBEsol-optimized structure of SrBe2SiPd, from Alexandria.

The structure in POSCAR format:
```
SrBe2SiPd
1.0
4.201 0.000 0.000
0.000 4.201 0.000
0.000 0.000 5.908
Sr Be Si Pd
1 2 1 1
direct
0.000 0.000 0.000 Sr
0.000 0.500 0.500 Be
0.500 0.000 0.500 Be
0.000 0.000 0.500 Si
0.500 0.500 0.000 Pd
```

raw formation energy	0.477	eV/atom
E_tot	-14.2779	eV/atom
DOS at the Fermi energy	2.6	states/eV per cell

No. 7
The following is a SCAN calculation of a PBEsol-optimized structure of TaBePd3, from Alexandria.

The structure in POSCAR format:
```
TaBePd3
1.0
4.164 0.000 0.000
0.000 4.164 0.000
0.000 0.000 4.164
Ta Be Pd
1 1 3
direct
0.000 0.000 0.000 Ta
0.500 0.500 0.500 Be
0.000 0.500 0.500 Pd
0.500 0.000 0.500 Pd
0.500 0.500 0.000 Pd
```

E_tot	-33.7547	eV/atom
DOS at the Fermi energy	5.4	states/eV per cell
ΔH_f (0 K)	0.10	eV/atom

No. 8
The following is a SCAN calculation of a PBEsol-optimized structure of BeTl2TcPd, from Alexandria.

The structure in POSCAR format:
```
BeTl2TcPd
1.0
4.621 0.000 0.000
0.000 4.621 0.000
0.000 0.000 4.100
Be Tl Tc Pd
1 2 1 1
direct
0.000 0.000 0.000 Be
0.000 0.500 0.000 Tl
0.500 0.000 0.000 Tl
0.000 0.000 0.500 Tc
0.500 0.500 0.500 Pd
```

E_tot	-42.6336	eV/atom
DOS at the Fermi energy	2.4	states/eV per cell
ΔH_f (0 K)	0.75	eV/atom